# 1
The following is a DFT calculation (meta-GGA SCAN) of a PBEsol-optimized structure of La2HfTi.

The value obtained for the calculated total energy is -1.5015 hartree per atom. The density of states at the Fermi level is 15.4 states/eV per cell. For the formation energy, the calculation gives 0.371 eV/atom.

The structure belongs to space group Fm-3m (No. 225); the cell edges are 7.391, 7.391 and 7.391 Å and the angles 90.00°, 90.00° and 90.00°. Symmetry generates all atoms from La at (0.250, 0.250, 0.250), Hf at (0.000, 0.000, 0.000) and Ti at (0.000, 0.000, 0.500).

***

# 2
The following is a DFT calculation (meta-GGA SCAN) of a PBEsol-optimized structure of La3HfTi.

The value obtained for the calculated total energy is -1.4967 hartree per atom. The density of states at the Fermi level is 7.8 states/eV per cell. For the formation energy, the calculation gives 0.876 eV/atom.

The structure belongs to space group Pm-3m (No. 221); the cell edges are 5.356, 5.356 and 5.356 Å and the angles 90.00°, 90.00° and 90.00°. Symmetry generates all atoms from La at (0.000, 0.000, 0.500), Hf at (0.500, 0.500, 0.500) and Ti at (0.000, 0.000, 0.000).

***

# 3
The following is a DFT calculation (meta-GGA SCAN) of a PBEsol-optimized structure of La3HfW.

The value obtained for the calculated total energy is -1.8900 hartree per atom. The density of states at the Fermi level is 4.3 states/eV per cell. For the formation energy, the calculation gives 0.906 eV/atom.

The structure belongs to space group Pm-3m (No. 221); the cell edges are 5.421, 5.421 and 5.421 Å and the angles 90.00°, 90.00° and 90.00°. Symmetry generates all atoms from La at (0.000, 0.000, 0.500), Hf at (0.500, 0.500, 0.500) and W at (0.000, 0.000, 0.000).

***

# 4
The following is a DFT calculation (meta-GGA SCAN) of a PBEsol-optimized structure of Li2HfMg.

The value obtained for the calculated total energy is -0.6419 hartree per atom. The density of states at the Fermi level is 11.1 states/eV per cell. For the formation energy, the calculation gives 0.639 eV/atom.

The structure belongs to space group I-42d (No. 122); the cell edges are 7.295, 7.295 and 5.836 Å and the angles 90.00°, 90.00° and 90.00°. Symmetry generates all atoms from Li at (0.233, 0.750, 0.125), Hf at (0.000, 0.000, 0.500) and Mg at (0.000, 0.000, 0.000).

***

# 5
The following is a DFT calculation (meta-GGA SCAN) of a PBEsol-optimized structure of LiHf3Mg.

The value obtained for the calculated total energy is -1.3840 hartree per atom. The density of states at the Fermi level is 6.8 states/eV per cell. For the formation energy, the calculation gives 1.416 eV/atom.

The structure belongs to space group Pm-3m (No. 221); the cell edges are 5.021, 5.021 and 5.021 Å and the angles 90.00°, 90.00° and 90.00°. Symmetry generates all atoms from Li at (0.000, 0.000, 0.000), Hf at (0.000, 0.500, 0.500) and Mg at (0.500, 0.500, 0.500).

***

# 6
The following is a DFT calculation (meta-GGA SCAN) of a PBEsol-optimized structure of LiHf2Mn.

The value obtained for the calculated total energy is -1.2921 hartree per atom. The density of states at the Fermi level is 23.2 states/eV per cell. For the formation energy, the calculation gives 1.339 eV/atom.

The structure belongs to space group Fd-3m (No. 227, origin choice 2); the cell edges are 10.089, 10.089 and 10.089 Å and the angles 90.00°, 90.00° and 90.00°. Symmetry generates all atoms from Li at (0.125, 0.125, 0.125), Hf at (0.000, 0.000, 0.500) and Mn at (0.125, 0.125, 0.625).

***

# 7
The following is a DFT calculation (meta-GGA SCAN) of a PBEsol-optimized structure of Li2HfMnOs.

The value obtained for the calculated total energy is -1.1316 hartree per atom. The density of states at the Fermi level is 2.5 states/eV per cell. For the formation energy, the calculation gives 0.726 eV/atom.

The structure belongs to space group P4/mmm (No. 123); the cell edges are 4.620, 4.620 and 4.826 Å and the angles 90.00°, 90.00° and 90.00°. Symmetry generates all atoms from Li at (0.000, 0.500, 0.000), Hf at (0.000, 0.000, 0.500), Mn at (0.500, 0.500, 0.500) and Os at (0.000, 0.000, 0.000).

***

# 8
The following is a DFT calculation (meta-GGA SCAN) of a PBEsol-optimized structure of Li2HfMo.

The value obtained for the calculated total energy is -0.9188 hartree per atom. The density of states at the Fermi level is 11.3 states/eV per cell. For the formation energy, the calculation gives 0.581 eV/atom.

The structure belongs to space group I-42d (No. 122); the cell edges are 3.677, 3.677 and 21.393 Å and the angles 90.00°, 90.00° and 90.00°. Symmetry generates all atoms from Li at (0.231, 0.250, 0.125), Hf at (0.000, 0.000, 0.500) and Mo at (0.000, 0.000, 0.000).

***

# 9
The following is a DFT calculation (meta-GGA SCAN) of a PBEsol-optimized structure of LiHf2Mo.

The value obtained for the calculated total energy is -1.4938 hartree per atom. The density of states at the Fermi level is 8.3 states/eV per cell. For the formation energy, the calculation gives 0.007 eV/atom.

The structure belongs to space group Fm-3m (No. 225); the cell edges are 6.534, 6.534 and 6.534 Å and the angles 90.00°, 90.00° and 90.00°. Symmetry generates all atoms from Li at (0.000, 0.000, 0.000), Hf at (0.250, 0.250, 0.250) and Mo at (0.000, 0.000, 0.500).

***

# 10
The following is a DFT calculation (meta-GGA SCAN) of a PBEsol-optimized structure of Li2HfN2.

The value obtained for the calculated total energy is -0.6841 hartree per atom. The density of states at the Fermi level is 0.0 states/eV per cell. The calculation puts the formation energy (no corrections) at -1406.9 meV per atom.

The structure belongs to space group P-3m1 (No. 164); the cell edges are 3.2213, 3.2213 and 5.4109 Å and the angles 90.00°, 90.00° and 120.00°. Symmetry generates all atoms from Li at (0.3333, 0.6667, 0.1177), Hf at (0.0000, 0.0000, 0.5000) and N at (0.3333, 0.6667, 0.7207).

***

# 11
The following is a DFT calculation (meta-GGA SCAN) of a PBEsol-optimized structure of NaLi2HfN.

The value obtained for the calculated total energy is -0.5422 hartree per atom. The density of states at the Fermi level is 3.0 states/eV per cell. The calculation puts the formation energy (no corrections) at 1438.4 meV per atom.

The structure belongs to space group P4/mmm (No. 123); the cell edges are 3.569, 3.569 and 6.055 Å and the angles 90.00°, 90.00° and 90.00°. Symmetry generates all atoms from Na at (0.000, 0.000, 0.000), Li at (0.000, 0.500, 0.000), Hf at (0.000, 0.000, 0.500) and N at (0.500, 0.500, 0.500).

***

# 12
The following is a DFT calculation (meta-GGA SCAN) of a PBEsol-optimized structure of LiHfNO2.

The value obtained for the calculated total energy is -0.6989 hartree per atom. The density of states at the Fermi level is 1.2 states/eV per cell. The calculation puts the formation energy (no corrections) at -1653.6 meV per atom.

The structure belongs to space group P4/mmm (No. 123); the cell edges are 4.062, 4.062 and 4.265 Å and the angles 90.00°, 90.00° and 90.00°. Symmetry generates all atoms from Li at (0.000, 0.000, 0.000), Hf at (0.500, 0.500, 0.500), N at (0.500, 0.500, 0.000) and O at (0.000, 0.500, 0.500).

***

# 13
The following is a DFT calculation (meta-GGA SCAN) of a PBEsol-optimized structure of LiHfSe2N.

The value obtained for the calculated total energy is -0.8638 hartree per atom. The density of states at the Fermi level is 1.5 states/eV per cell. The calculation puts the formation energy (no corrections) at -604.4 meV per atom.

The structure belongs to space group P4/mmm (No. 123); the cell edges are 5.195, 5.195 and 4.120 Å and the angles 90.00°, 90.00° and 90.00°. Symmetry generates all atoms from Li at (0.000, 0.000, 0.000), Hf at (0.500, 0.500, 0.500), Se at (0.000, 0.500, 0.500) and N at (0.500, 0.500, 0.000).

***

# 14
The following is a DFT calculation (meta-GGA SCAN) of a PBEsol-optimized structure of NaLi3Hf.

The value obtained for the calculated total energy is -0.5120 hartree per atom. The density of states at the Fermi level is 5.8 states/eV per cell. For the formation energy, the calculation gives 0.880 eV/atom.

The structure belongs to space group Pm-3m (No. 221); the cell edges are 4.636, 4.636 and 4.636 Å and the angles 90.00°, 90.00° and 90.00°. Symmetry generates all atoms from Na at (0.000, 0.000, 0.000), Li at (0.000, 0.000, 0.500) and Hf at (0.500, 0.500, 0.500).

***

# 15
The following is a DFT calculation (meta-GGA SCAN) of a PBEsol-optimized structure of NaLi2Hf2.

The value obtained for the calculated total energy is -0.9670 hartree per atom. The density of states at the Fermi level is 6.9 states/eV per cell. For the formation energy, the calculation gives 0.554 eV/atom.

The structure belongs to space group I4/mmm (No. 139); the cell edges are 3.988, 3.988 and 14.669 Å and the angles 90.00°, 90.00° and 90.00°. Symmetry generates all atoms from Na at (0.000, 0.000, 0.000), Li at (0.000, 0.000, 0.403) and Hf at (0.000, 0.500, 0.250).

***

# 16
The following is a DFT calculation (meta-GGA SCAN) of a PBEsol-optimized structure of LiHf2Nb.

The value obtained for the calculated total energy is -1.4713 hartree per atom. The density of states at the Fermi level is 16.6 states/eV per cell. For the formation energy, the calculation gives 0.180 eV/atom.

The structure belongs to space group Fm-3m (No. 225); the cell edges are 6.648, 6.648 and 6.648 Å and the angles 90.00°, 90.00° and 90.00°. Symmetry generates all atoms from Li at (0.000, 0.000, 0.000), Hf at (0.250, 0.250, 0.250) and Nb at (0.000, 0.000, 0.500).

***

# 17
The following is a DFT calculation (meta-GGA SCAN) of a PBEsol-optimized structure of Li2Hf2Ni.

The value obtained for the calculated total energy is -1.0662 hartree per atom. The density of states at the Fermi level is 8.4 states/eV per cell. For the formation energy, the calculation gives 0.248 eV/atom.

The structure belongs to space group I4/mmm (No. 139); the cell edges are 3.105, 3.105 and 17.225 Å and the angles 90.00°, 90.00° and 90.00°. Symmetry generates all atoms from Li at (0.000, 0.500, 0.250), Hf at (0.000, 0.000, 0.092) and Ni at (0.000, 0.000, 0.500).

***

# 18
The following is a DFT calculation (meta-GGA SCAN) of a PBEsol-optimized structure of Li4HfO4.

The value obtained for the calculated total energy is -0.4948 hartree per atom. The density of states at the Fermi level is 0.0 states/eV per cell. The calculation puts the formation energy (no corrections) at -2668.2 meV per atom.

The structure belongs to space group Cmcm (No. 63); the cell edges are 8.132, 7.342 and 6.311 Å and the angles 90.00°, 90.00° and 90.00°. Symmetry generates all atoms from Li at (0.143, 0.241, 0.250), Li at (0.156, 0.500, 0.000), Hf at (0.000, 0.153, 0.750), O at (0.000, 0.297, 0.009) and O at (0.208, 0.018, 0.750).

***

# 19
The following is a DFT calculation (meta-GGA SCAN) of a PBEsol-optimized structure of Li2HfO3.

The value obtained for the calculated total energy is -0.6404 hartree per atom. The density of states at the Fermi level is 0.0 states/eV per cell. The calculation puts the formation energy (no corrections) at -3068.3 meV per atom.

The structure belongs to space group C2/c (No. 15); the cell edges are 5.312, 8.935 and 5.314 Å and the angles 90.00°, 111.91° and 90.00°. Symmetry generates all atoms from Li at (0.000, 0.076, 0.250), Li at (0.000, 0.242, 0.750), Hf at (0.000, 0.409, 0.250), O at (0.230, 0.424, 0.011) and O at (0.250, 0.250, 0.500).

***

# 20
The following is a DFT calculation (meta-GGA SCAN) of a PBEsol-optimized structure of Li2Hf2O5.

The value obtained for the calculated total energy is -0.7772 hartree per atom. The density of states at the Fermi level is 0.0 states/eV per cell. The calculation puts the formation energy (no corrections) at -3229.2 meV per atom.

The structure belongs to space group P2_1/c (No. 14); the cell edges are 10.259, 3.788 and 12.784 Å and the angles 90.00°, 126.00° and 90.00°. Symmetry generates all atoms from Li at (0.027, 0.242, 0.438), Li at (0.079, 0.714, 0.331), Hf at (0.327, 0.698, 0.134), Hf at (0.331, 0.157, 0.358), O at (0.104, 0.748, 0.497), O at (0.131, 0.215, 0.340), O at (0.281, 0.679, 0.275), O at (0.386, 0.192, 0.208) and O at (0.414, 0.678, 0.025).